# 1
DFT (PBE-GGA) results for an optimized crystal structure of LiBeSiO4.

Computed properties:
formation energy from raw total energies: -2289 meV per atom

Unit cell a=4.454 b=4.454 c=7.691 alpha=90.00 beta=90.00 gamma=90.00
Space group I-4 (No. 82)
Unique sites:
1 Li 0.000 0.000 0.000 x2
2 Be 0.000 0.500 0.750 x2
3 Si 0.000 0.000 0.500 x2
4 O 0.158 0.267 0.616 x8

# 2
DFT (PBE-GGA) results for an optimized crystal structure of Li2TaBe2O6.

Computed properties:
formation energy from raw total energies: -2250 meV per atom

Unit cell a=5.0236 b=5.0236 c=6.2252 alpha=90.00 beta=90.00 gamma=120.00
Space group P-3 (No. 147)
Unique sites:
1 Li 0.3333 0.6667 0.2696 x2
2 Ta 0.0000 0.0000 0.0000 x1
3 Be 0.3333 0.6667 0.8082 x2
4 O 0.0438 0.7000 0.8118 x6

# 3
DFT (PBE-GGA) results for an optimized crystal structure of LiTb2Be2O6.

Computed properties:
formation energy from raw total energies: -2473 meV per atom

Unit cell a=5.1899 b=5.1899 c=15.6592 alpha=90.00 beta=90.00 gamma=120.00
Space group R-3m (No. 166, hexagonal axes)
Unique sites:
1 Li 0.0000 0.0000 0.0000 x3
2 Tb 0.0000 0.0000 0.2071 x6
3 Be 0.0000 0.0000 0.4237 x6
4 O 0.0037 0.5018 0.7595 x18

# 4
DFT (PBE-GGA) results for an optimized crystal structure of Li2Be2TcO6.

Computed properties:
formation energy from raw total energies: -1791 meV per atom

Unit cell a=4.7747 b=4.7747 c=4.8647 alpha=90.00 beta=90.00 gamma=120.00
Space group P-31m (No. 162)
Unique sites:
1 Li 0.3333 0.6667 0.0000 x2
2 Be 0.3333 0.6667 0.5000 x2
3 Tc 0.0000 0.0000 0.5000 x1
4 O 0.0000 0.3474 0.7062 x6

# 5
DFT (PBE-GGA) results for an optimized crystal structure of LiBe4Te3O12.

Computed properties:
formation energy from raw total energies: -1567 meV per atom

Unit cell a=10.2383 b=10.2383 c=7.9985 alpha=90.00 beta=90.00 gamma=120.00
Space group R32 (No. 155, hexagonal axes)
Unique sites:
1 Li 0.0000 0.0000 0.0000 x3
2 Be 0.0000 0.0000 0.5000 x3
3 Be 0.0000 0.4468 0.5000 x9
4 Te 0.0000 0.5440 0.0000 x9
5 O 0.0000 0.6010 0.5000 x9
6 O 0.0000 0.8484 0.5000 x9
7 O 0.0311 0.2115 0.1952 x18

# 6
DFT (PBE-GGA) results for an optimized crystal structure of Li2Be2TeO6.

Computed properties:
formation energy from raw total energies: -1866 meV per atom

Unit cell a=4.9578 b=4.9578 c=6.0279 alpha=90.00 beta=90.00 gamma=120.00
Space group P-3 (No. 147)
Unique sites:
1 Li 0.3333 0.6667 0.2878 x2
2 Be 0.3333 0.6667 0.8279 x2
3 Te 0.0000 0.0000 0.0000 x1
4 O 0.0401 0.7017 0.8112 x6

# 7
DFT (PBE-GGA) results for an optimized crystal structure of LiBeTeO4.

Computed properties:
formation energy from raw total energies: -1566 meV per atom

Unit cell a=4.852 b=4.852 c=7.547 alpha=90.00 beta=90.00 gamma=90.00
Space group I-4 (No. 82)
Unique sites:
1 Li 0.000 0.000 0.000 x2
2 Be 0.000 0.500 0.750 x2
3 Te 0.000 0.000 0.500 x2
4 O 0.192 0.291 0.630 x8

# 8
DFT (PBE-GGA) results for an optimized crystal structure of Li2BeTeO4.

Computed properties:
formation energy from raw total energies: -1678 meV per atom

Unit cell a=4.612 b=4.612 c=8.503 alpha=90.00 beta=90.00 gamma=90.00
Space group I-4 (No. 82)
Unique sites:
1 Li 0.000 0.000 0.000 x2
2 Li 0.000 0.500 0.250 x2
3 Be 0.000 0.500 0.750 x2
4 Te 0.000 0.000 0.500 x2
5 O 0.208 0.278 0.860 x8

# 9
DFT (PBE-GGA) results for an optimized crystal structure of Li2TiBeO4.

Computed properties:
formation energy from raw total energies: -2612 meV per atom

Unit cell a=4.456 b=4.456 c=8.128 alpha=90.00 beta=90.00 gamma=90.00
Space group I-4 (No. 82)
Unique sites:
1 Li 0.000 0.000 0.000 x2
2 Li 0.000 0.500 0.250 x2
3 Ti 0.000 0.000 0.500 x2
4 Be 0.000 0.500 0.750 x2
5 O 0.201 0.732 0.632 x8

# 10
DFT (PBE-GGA) results for an optimized crystal structure of LiBeTlO3.

Computed properties:
formation energy from raw total energies: -1467 meV per atom

Unit cell a=3.038 b=9.375 c=9.961 alpha=90.00 beta=90.00 gamma=90.00
Space group Cmcm (No. 63)
Unique sites:
1 Li 0.000 0.246 0.250 x4
2 Be 0.000 0.487 0.750 x4
3 Tl 0.000 0.000 0.000 x4
4 O 0.000 0.080 0.750 x4
5 O 0.000 0.381 0.617 x8

| no. | DFT total energy (eV for the cell shown) |
| --- | --- |
| 1 | -93.84 |
| 2 | -77.64 |
| 3 | -226.72 |
| 4 | -71.09 |
| 5 | -351.23 |
| 6 | -64.70 |
| 7 | -79.15 |
| 8 | -87.90 |
| 9 | -112.35 |
| 10 | -126.74 |